# Cs6K (GGA-PBE, optimized geometry)
# DFT total energy, eV per cell: -8.3
# E_form, eV per atom: 0.293
# Excess energy over the best structure of this formula in the dataset, meV per atom: 288
data_Cs6K
_chemical_formula_sum 'Cs12 K2'
_cell_length_a 13.2037
_cell_length_b 13.2037
_cell_length_c 13.2037
_cell_angle_alpha 90.00
_cell_angle_beta 90.00
_cell_angle_gamma 90.00
_space_group_name_H-M_alt 'I m -3 m'
_space_group_IT_number 229
_space_group_name_Hall '-I 4 2 3'
loop_
_atom_site_label
_atom_site_type_symbol
_atom_site_fract_x
_atom_site_fract_y
_atom_site_fract_z
_atom_site_occupancy
Cs1 Cs 0.0000 0.2500 0.5000 1
K1 K 0.0000 0.0000 0.0000 1